# Li2TaSn2O6 (GGA-PBE, relaxed)
data_Li2TaSn2O6
_chemical_formula_sum 'Li2 Ta1 Sn2 O6'
_space_group_name_H-M_alt 'P 1'
_space_group_IT_number 1
_cell_length_a 6.174
_cell_length_b 6.174
_cell_length_c 6.174
_cell_angle_alpha 57.19
_cell_angle_beta 57.19
_cell_angle_gamma 57.19
loop_
_space_group_symop_operation_xyz
'x,y,z'
loop_
_atom_site_label
_atom_site_fract_x
_atom_site_fract_y
_atom_site_fract_z
Li1 0.088 0.088 0.088
Li2 0.912 0.912 0.912
Ta1 0.500 0.500 0.500
Sn1 0.312 0.312 0.312
Sn2 0.688 0.688 0.688
O1 0.265 0.265 0.714
O2 0.265 0.714 0.265
O3 0.286 0.735 0.735
O4 0.714 0.265 0.265
O5 0.735 0.286 0.735
O6 0.735 0.735 0.286
# Total energy = -6.6053 eV per atom
# SG = R-3m
# Energy relative to the elements, uncorrected = -1.75 eV per atom

# KVBr3 (GGA-PBE, relaxed)
data_KVBr3
_chemical_formula_sum 'K4 V4 Br12'
_space_group_name_H-M_alt 'P 1'
_space_group_IT_number 1
_cell_length_a 8.853
_cell_length_b 3.861
_cell_length_c 15.704
_cell_angle_alpha 90.00
_cell_angle_beta 90.00
_cell_angle_gamma 90.00
loop_
_space_group_symop_operation_xyz
'x,y,z'
loop_
_atom_site_label
_atom_site_fract_x
_atom_site_fract_y
_atom_site_fract_z
K1 0.059 0.250 0.168
K2 0.441 0.750 0.668
K3 0.559 0.250 0.332
K4 0.941 0.750 0.832
V1 0.110 0.750 0.457
V2 0.390 0.250 0.957
V3 0.610 0.750 0.043
V4 0.890 0.250 0.543
Br1 0.042 0.750 0.610
Br2 0.193 0.750 0.998
Br3 0.244 0.250 0.804
Br4 0.256 0.750 0.304
Br5 0.307 0.250 0.498
Br6 0.458 0.250 0.110
Br7 0.542 0.750 0.890
Br8 0.693 0.750 0.502
Br9 0.744 0.250 0.696
Br10 0.756 0.750 0.196
Br11 0.807 0.250 0.002
Br12 0.958 0.250 0.390
# Total energy = -4.0730 eV per atom
# SG = Pnma
# Energy relative to the elements, uncorrected = -1.03 eV per atom

# La2AlBr (GGA-PBE, relaxed)
data_La2AlBr
_chemical_formula_sum 'La2 Al1 Br1'
_space_group_name_H-M_alt 'P 1'
_space_group_IT_number 1
_cell_length_a 3.601
_cell_length_b 3.589
_cell_length_c 8.596
_cell_angle_alpha 90.00
_cell_angle_beta 90.06
_cell_angle_gamma 90.00
loop_
_space_group_symop_operation_xyz
'x,y,z'
loop_
_atom_site_label
_atom_site_fract_x
_atom_site_fract_y
_atom_site_fract_z
La1 0.001 0.000 0.233
La2 0.999 0.000 0.767
Al1 0.500 0.500 0.000
Br1 0.500 0.500 0.500
# Total energy = -4.6442 eV per atom
# SG = P2/m
# E above lowest polymorph = 0.0 meV/atom
# Energy relative to the elements, uncorrected = -0.83 eV per atom

# BaThHgI6 (GGA-PBE, relaxed)
data_BaThHgI6
_chemical_formula_sum 'Ba2 Th2 Hg2 I12'
_space_group_name_H-M_alt 'P 1'
_space_group_IT_number 1
_cell_length_a 8.599
_cell_length_b 8.599
_cell_length_c 17.681
_cell_angle_alpha 90.00
_cell_angle_beta 90.00
_cell_angle_gamma 120.00
loop_
_space_group_symop_operation_xyz
'x,y,z'
loop_
_atom_site_label
_atom_site_fract_x
_atom_site_fract_y
_atom_site_fract_z
Ba1 0.333 0.667 0.250
Ba2 0.667 0.333 0.750
Th1 0.333 0.667 0.750
Th2 0.667 0.333 0.250
Hg1 0.000 0.000 0.000
Hg2 0.000 0.000 0.500
I1 0.035 0.386 0.647
I2 0.035 0.649 0.853
I3 0.351 0.386 0.853
I4 0.351 0.965 0.647
I5 0.386 0.035 0.147
I6 0.386 0.351 0.353
I7 0.614 0.649 0.647
I8 0.614 0.965 0.853
I9 0.649 0.035 0.353
I10 0.649 0.614 0.147
I11 0.965 0.351 0.147
I12 0.965 0.614 0.353
# Total energy = -3.3637 eV per atom
# SG = P-31c
# Energy relative to the elements, uncorrected = -1.26 eV per atom

# Cu2AgMoI (GGA-PBE, relaxed)
data_Cu2AgMoI
_chemical_formula_sum 'Cu2 Ag1 Mo1 I1'
_space_group_name_H-M_alt 'P 1'
_space_group_IT_number 1
_cell_length_a 4.831
_cell_length_b 4.831
_cell_length_c 5.154
_cell_angle_alpha 90.00
_cell_angle_beta 90.00
_cell_angle_gamma 90.00
loop_
_space_group_symop_operation_xyz
'x,y,z'
loop_
_atom_site_label
_atom_site_fract_x
_atom_site_fract_y
_atom_site_fract_z
Cu1 0.000 0.500 0.000
Cu2 0.500 0.000 0.000
Ag1 0.000 0.000 0.500
Mo1 0.500 0.500 0.500
I1 0.500 0.500 0.000
# Total energy = -3.1606 eV per atom
# SG = P4/mmm
# Energy relative to the elements, uncorrected = 1.52 eV per atom

# AcLaAsS (GGA-PBE, relaxed)
data_AcLaAsS
_chemical_formula_sum 'Ac3 La3 As3 S3'
_space_group_name_H-M_alt 'P 1'
_space_group_IT_number 1
_cell_length_a 4.367
_cell_length_b 4.367
_cell_length_c 21.206
_cell_angle_alpha 90.00
_cell_angle_beta 90.00
_cell_angle_gamma 120.00
loop_
_space_group_symop_operation_xyz
'x,y,z'
loop_
_atom_site_label
_atom_site_fract_x
_atom_site_fract_y
_atom_site_fract_z
Ac1 0.000 0.000 0.000
Ac2 0.333 0.667 0.667
Ac3 0.667 0.333 0.333
La1 0.000 0.000 0.502
La2 0.333 0.667 0.168
La3 0.667 0.333 0.835
As1 0.000 0.000 0.754
As2 0.333 0.667 0.421
As3 0.667 0.333 0.088
S1 0.000 0.000 0.248
S2 0.333 0.667 0.914
S3 0.667 0.333 0.581
# Total energy = -6.2820 eV per atom
# SG = R3m
# Energy relative to the elements, uncorrected = -1.83 eV per atom